An optimized crystal structure of Ni3Os, computed with PBE-GGA.

## Properties
Symmetry: R-3m
Calculated formation energy in eV per formula unit: 0.48
Total magnetization in μB/f.u.: 0.84
Total energy in eV per atom: -7.02
Crystal system: trigonal
Mass density in g/cm³: 12.632

```
4
Lattice="-1.0763 2.2705 -0.6939 -6.9042 -4.1091 2.1606 -0.1353 1.9569 1.7167" Properties=species:S:1:pos:R:3 pbc="T T T"
Ni -8.0740 0.1338 3.1691
Os -2.6348 2.1433 1.3073
Ni -5.4811 -2.0249 1.8762
Ni -4.0998 0.0437 1.6061
```